Here is a geometry-optimized Mg2ZrI structure from the Alexandria database. Energies are from GGA-PBEsol.

Properties
As for the total magnetization: 0.0 Bohr magnetons per cell. The calculation puts the density of states at the Fermi level at 0.838 states/eV/atom. The calculation puts the raw formation energy at 0.293 eV/atom.

a b c (Å): 6.5357 6.5357 6.5357
angles (deg): 101.52 101.52 126.91
With the nearest neighbours (Å) after each atom.
Fractional coordinates of all 8 atoms:
1 Mg 0.1139 0.1250 0.4889  2 Mg 2.93, 2 I 2.95, 2 Zr 3.08
2 Mg 0.3750 0.8861 0.0111  2 Mg 2.93, 2 I 2.95, 2 Zr 3.08
3 Mg 0.6361 0.6250 0.5111  2 Mg 2.93, 2 I 2.95, 2 Zr 3.08
4 Mg 0.8750 0.3639 0.9889  2 Mg 2.93, 2 I 2.95, 2 Zr 3.08
5 Zr 0.2500 0.7500 0.5000  2 I 2.92, 4 Mg 3.08
6 Zr 0.5000 0.5000 0.0000  2 I 2.92, 4 Mg 3.08
7 I 0.0000 0.0000 0.0000  2 Zr 2.92, 4 Mg 2.95
8 I 0.7500 0.2500 0.5000  2 Zr 2.92, 4 Mg 2.95